--- one ---
Density functional theory data (PBE) for an optimized crystal structure of BeTeIr2.

a b c (Å): 4.416 4.416 4.416
angles (deg): 60.00 60.00 60.00
Positions (direct):
Be 0.000 0.000 0.000
Te 0.500 0.500 0.500
Ir 0.250 0.250 0.250
Ir 0.750 0.750 0.750


--- two ---
Density functional theory data (PBE) for an optimized crystal structure of BeTeIr2.

a b c (Å): 2.910 2.910 8.725
angles (deg): 90.00 90.00 117.63
Positions (direct):
Be 0.000 0.000 0.000
Te 0.500 0.500 0.709
Ir 0.000 0.000 0.449
Ir 0.500 0.500 0.181


Pick the most stable structure from those above. Pick: one